PBE NbIr2Pb, relaxed; final energy = -7.24 eV per atom; total magnetic moment = 0.000 μB per formula unit
1.0
6.123 0.000 0.000
0.000 6.123 0.000
3.061 3.061 5.601
Ir Nb Pb
4 2 2
direct
0.375 0.403 0.750
0.153 0.625 0.250
0.875 0.847 0.750
0.597 0.125 0.250
0.500 0.500 0.000
0.250 0.750 0.500
0.750 0.250 0.500
0.000 0.000 0.000